No. 1
# RbHoMg2Br8 (PBE, relaxed)
data_RbHoMg2Br8
_space_group_name_H-M_alt 'P -1'
_space_group_IT_number 2
_cell_length_a 6.941
_cell_length_b 6.971
_cell_length_c 9.621
_cell_angle_alpha 76.27
_cell_angle_beta 77.41
_cell_angle_gamma 75.99
loop_
_space_group_symop_operation_xyz
'x,y,z'
'-x,-y,-z'
loop_
_atom_site_label
_atom_site_type_symbol
_atom_site_fract_x
_atom_site_fract_y
_atom_site_fract_z
_atom_site_occupancy
Rb1 Rb 0.000 0.000 0.000 1
Ho1 Ho 0.000 0.000 0.500 1
Mg1 Mg 0.453 0.448 0.213 1
Br1 Br 0.186 0.727 0.723 1
Br2 Br 0.248 0.791 0.288 1
Br3 Br 0.278 0.244 0.456 1
Br4 Br 0.355 0.314 0.019 1
# Formation energy without anion corrections = -1595 meV per atom

No. 2
# Hf2HgBiP (PBE, relaxed)
data_Hf2HgBiP
_space_group_name_H-M_alt 'P 4/m m m'
_space_group_IT_number 123
_space_group_name_Hall '-P 4 2'
_cell_length_a 4.877
_cell_length_b 4.877
_cell_length_c 5.361
_cell_angle_alpha 90.00
_cell_angle_beta 90.00
_cell_angle_gamma 90.00
loop_
_atom_site_label
_atom_site_type_symbol
_atom_site_fract_x
_atom_site_fract_y
_atom_site_fract_z
_atom_site_occupancy
Hf1 Hf 0.000 0.500 0.000 1
Hg1 Hg 0.000 0.000 0.500 1
Bi1 Bi 0.500 0.500 0.500 1
P1 P 0.500 0.500 0.000 1
# Energy = -28.55 eV/cell

No. 3
# ScPaMoC3 (PBE, relaxed)
data_ScPaMoC3
_space_group_name_H-M_alt 'P 1 21/m 1'
_space_group_IT_number 11
_cell_length_a 5.711
_cell_length_b 3.357
_cell_length_c 8.450
_cell_angle_alpha 90.00
_cell_angle_beta 102.71
_cell_angle_gamma 90.00
loop_
_space_group_symop_operation_xyz
'x,y,z'
'-x,-y,-z'
'-x,y+1/2,-z'
'x,-y+1/2,z'
loop_
_atom_site_label
_atom_site_type_symbol
_atom_site_fract_x
_atom_site_fract_y
_atom_site_fract_z
_atom_site_occupancy
Sc1 Sc 0.230 0.250 0.447 1
Pa1 Pa 0.355 0.750 0.805 1
Mo1 Mo 0.129 0.750 0.134 1
C1 C 0.053 0.250 0.674 1
C2 C 0.246 0.250 0.018 1
C3 C 0.439 0.750 0.323 1
# Energy = -113.26 eV/cell

No. 4
# CsZrHgBr6 (PBE, relaxed)
data_CsZrHgBr6
_space_group_name_H-M_alt 'P 1'
_space_group_IT_number 1
_cell_length_a 7.369
_cell_length_b 7.477
_cell_length_c 7.551
_cell_angle_alpha 100.44
_cell_angle_beta 98.20
_cell_angle_gamma 110.64
loop_
_space_group_symop_operation_xyz
'x,y,z'
loop_
_atom_site_label
_atom_site_type_symbol
_atom_site_fract_x
_atom_site_fract_y
_atom_site_fract_z
_atom_site_occupancy
Cs1 Cs 0.000 0.000 0.000 1
Zr1 Zr 0.131 0.628 0.482 1
Hg1 Hg 0.619 0.150 0.507 1
Br1 Br 0.315 0.790 0.237 1
Br2 Br 0.322 0.392 0.458 1
Br3 Br 0.422 0.907 0.755 1
Br4 Br 0.820 0.356 0.229 1
Br5 Br 0.931 0.862 0.487 1
Br6 Br 0.970 0.481 0.748 1
# Formation energy without anion corrections = -1210 meV per atom

No. 5
# CaHgS3 (PBE, relaxed)
data_CaHgS3
_space_group_name_H-M_alt 'P m -3 m'
_space_group_IT_number 221
_space_group_name_Hall '-P 4 2 3'
_cell_length_a 5.389
_cell_length_b 5.389
_cell_length_c 5.389
_cell_angle_alpha 90.00
_cell_angle_beta 90.00
_cell_angle_gamma 90.00
loop_
_atom_site_label
_atom_site_type_symbol
_atom_site_fract_x
_atom_site_fract_y
_atom_site_fract_z
_atom_site_occupancy
Ca1 Ca 0.000 0.000 0.000 1
Hg1 Hg 0.500 0.500 0.500 1
S1 S 0.000 0.000 0.500 1
# Formation energy without anion corrections = 163 meV per atom
# Excess energy over the best structure of this formula in the dataset = 331 meV/atom

No. 6
# LaAl3AgPd (PBE, relaxed)
data_LaAl3AgPd
_space_group_name_H-M_alt 'C m c m'
_space_group_IT_number 63
_space_group_name_Hall '-C 2c 2'
_cell_length_a 6.054
_cell_length_b 13.378
_cell_length_c 6.019
_cell_angle_alpha 90.00
_cell_angle_beta 90.00
_cell_angle_gamma 90.00
loop_
_atom_site_label
_atom_site_type_symbol
_atom_site_fract_x
_atom_site_fract_y
_atom_site_fract_z
_atom_site_occupancy
La1 La 0.000 0.207 0.250 1
Al1 Al 0.000 0.373 0.750 1
Al2 Al 0.217 0.000 0.000 1
Ag1 Ag 0.000 0.156 0.750 1
Pd1 Pd 0.000 0.414 0.250 1
# Energy = -106.90 eV/cell

No. 7
# Be2Cu2P (PBE, relaxed)
data_Be2Cu2P
_space_group_name_H-M_alt 'P 4/m b m'
_space_group_IT_number 127
_space_group_name_Hall '-P 4 2ab'
_cell_length_a 6.708
_cell_length_b 6.708
_cell_length_c 2.466
_cell_angle_alpha 90.00
_cell_angle_beta 90.00
_cell_angle_gamma 90.00
loop_
_atom_site_label
_atom_site_type_symbol
_atom_site_fract_x
_atom_site_fract_y
_atom_site_fract_z
_atom_site_occupancy
Be1 Be 0.166 0.334 0.000 1
Cu1 Cu 0.132 0.632 0.500 1
P1 P 0.000 0.000 0.500 1
# Excess energy over the best structure of this formula in the dataset = 0 meV/atom

No. 8
# PmDyTmLu (PBE, relaxed)
data_PmDyTmLu
_space_group_name_H-M_alt 'F -4 3 m'
_space_group_IT_number 216
_space_group_name_Hall 'F -4 2 3'
_cell_length_a 7.967
_cell_length_b 7.967
_cell_length_c 7.967
_cell_angle_alpha 90.00
_cell_angle_beta 90.00
_cell_angle_gamma 90.00
loop_
_atom_site_label
_atom_site_type_symbol
_atom_site_fract_x
_atom_site_fract_y
_atom_site_fract_z
_atom_site_occupancy
Pm1 Pm 0.000 0.000 0.000 1
Dy1 Dy 0.000 0.000 0.500 1
Tm1 Tm 0.250 0.250 0.250 1
Lu1 Lu 0.250 0.250 0.750 1
# Energy = -71.66 eV/cell

No. 9
# SrLiLa2 (PBE, relaxed)
data_SrLiLa2
_space_group_name_H-M_alt 'P 4/m m m'
_space_group_IT_number 123
_space_group_name_Hall '-P 4 2'
_cell_length_a 3.970
_cell_length_b 3.970
_cell_length_c 9.345
_cell_angle_alpha 90.00
_cell_angle_beta 90.00
_cell_angle_gamma 90.00
loop_
_atom_site_label
_atom_site_type_symbol
_atom_site_fract_x
_atom_site_fract_y
_atom_site_fract_z
_atom_site_occupancy
Sr1 Sr 0.000 0.000 0.000 1
Li1 Li 0.000 0.000 0.500 1
La1 La 0.500 0.500 0.320 1
# Excess energy over the best structure of this formula in the dataset = 71 meV/atom

No. 10
# Ce2PaC3 (PBE, relaxed)
data_Ce2PaC3
_space_group_name_H-M_alt 'I m m m'
_space_group_IT_number 71
_space_group_name_Hall '-I 2 2'
_cell_length_a 3.661
_cell_length_b 5.120
_cell_length_c 11.014
_cell_angle_alpha 90.00
_cell_angle_beta 90.00
_cell_angle_gamma 90.00
loop_
_atom_site_label
_atom_site_type_symbol
_atom_site_fract_x
_atom_site_fract_y
_atom_site_fract_z
_atom_site_occupancy
Ce1 Ce 0.000 0.000 0.167 1
Pa1 Pa 0.000 0.000 0.500 1
C1 C 0.000 0.500 0.149 1
C2 C 0.000 0.500 0.500 1
# Excess energy over the best structure of this formula in the dataset = 0 meV/atom

No. 11
# Cs2NaBr4 (PBE, relaxed)
data_Cs2NaBr4
_space_group_name_H-M_alt 'I 4/m m m'
_space_group_IT_number 139
_space_group_name_Hall '-I 4 2'
_cell_length_a 5.696
_cell_length_b 5.696
_cell_length_c 18.385
_cell_angle_alpha 90.00
_cell_angle_beta 90.00
_cell_angle_gamma 90.00
loop_
_atom_site_label
_atom_site_type_symbol
_atom_site_fract_x
_atom_site_fract_y
_atom_site_fract_z
_atom_site_occupancy
Cs1 Cs 0.000 0.000 0.138 1
Na1 Na 0.000 0.000 0.500 1
Br1 Br 0.000 0.000 0.336 1
Br2 Br 0.000 0.500 0.000 1
# Formation energy without anion corrections = -1349 meV per atom

No. 12
# Ce11In9Pt4 (PBE, relaxed)
data_Ce11In9Pt4
_space_group_name_H-M_alt 'C m m m'
_space_group_IT_number 65
_space_group_name_Hall '-C 2 2'
_cell_length_a 15.135
_cell_length_b 21.701
_cell_length_c 3.758
_cell_angle_alpha 90.00
_cell_angle_beta 90.00
_cell_angle_gamma 90.00
loop_
_atom_site_label
_atom_site_type_symbol
_atom_site_fract_x
_atom_site_fract_y
_atom_site_fract_z
_atom_site_occupancy
Ce1 Ce 0.000 0.000 0.000 1
Ce2 Ce 0.000 0.149 0.000 1
Ce3 Ce 0.000 0.371 0.000 1
Ce4 Ce 0.187 0.500 0.000 1
Ce5 Ce 0.246 0.182 0.000 1
In1 In 0.000 0.500 0.500 1
In2 In 0.099 0.259 0.500 1
In3 In 0.152 0.072 0.500 1
Pt1 Pt 0.150 0.397 0.500 1
# Energy = -259.96 eV/cell

No. 13
# Nd2Cu5Pd2Rh (PBE, relaxed)
data_Nd2Cu5Pd2Rh
_space_group_name_H-M_alt 'P 4/m b m'
_space_group_IT_number 127
_space_group_name_Hall '-P 4 2ab'
_cell_length_a 9.393
_cell_length_b 9.393
_cell_length_c 3.922
_cell_angle_alpha 90.00
_cell_angle_beta 90.00
_cell_angle_gamma 90.00
loop_
_atom_site_label
_atom_site_type_symbol
_atom_site_fract_x
_atom_site_fract_y
_atom_site_fract_z
_atom_site_occupancy
Nd1 Nd 0.182 0.318 0.000 1
Cu1 Cu 0.000 0.500 0.500 1
Cu2 Cu 0.049 0.809 0.500 1
Pd1 Pd 0.119 0.619 0.000 1
Rh1 Rh 0.000 0.000 0.000 1
# Energy = -100.42 eV/cell

No. 14
# DyYMgBi (PBE, relaxed)
data_DyYMgBi
_space_group_name_H-M_alt 'F -4 3 m'
_space_group_IT_number 216
_space_group_name_Hall 'F -4 2 3'
_cell_length_a 7.673
_cell_length_b 7.673
_cell_length_c 7.673
_cell_angle_alpha 90.00
_cell_angle_beta 90.00
_cell_angle_gamma 90.00
loop_
_atom_site_label
_atom_site_type_symbol
_atom_site_fract_x
_atom_site_fract_y
_atom_site_fract_z
_atom_site_occupancy
Dy1 Dy 0.000 0.000 0.000 1
Y1 Y 0.000 0.000 0.500 1
Mg1 Mg 0.250 0.250 0.750 1
Bi1 Bi 0.250 0.250 0.250 1
# Energy = -71.09 eV/cell

No. 15
# Sr2LiRh (PBE, relaxed)
data_Sr2LiRh
_space_group_name_H-M_alt 'C 1 2/m 1'
_space_group_IT_number 12
_cell_length_a 7.531
_cell_length_b 4.262
_cell_length_c 9.139
_cell_angle_alpha 90.00
_cell_angle_beta 104.49
_cell_angle_gamma 90.00
loop_
_space_group_symop_operation_xyz
'x,y,z'
'-x,-y,-z'
'-x,y,-z'
'x,-y,z'
'x+1/2,y+1/2,z'
'-x+1/2,-y+1/2,-z'
'-x+1/2,y+1/2,-z'
'x+1/2,-y+1/2,z'
loop_
_atom_site_label
_atom_site_type_symbol
_atom_site_fract_x
_atom_site_fract_y
_atom_site_fract_z
_atom_site_occupancy
Sr1 Sr 0.224 0.000 0.180 1
Li1 Li 0.000 0.000 0.500 1
Rh1 Rh 0.000 0.500 0.000 1
# Energy = -25.18 eV/cell

No. 16
# BaGaSe2O8 (PBE, relaxed)
data_BaGaSe2O8
_space_group_name_H-M_alt 'C 1 2/m 1'
_space_group_IT_number 12
_cell_length_a 8.564
_cell_length_b 5.699
_cell_length_c 7.920
_cell_angle_alpha 90.00
_cell_angle_beta 94.07
_cell_angle_gamma 90.00
loop_
_space_group_symop_operation_xyz
'x,y,z'
'-x,-y,-z'
'-x,y,-z'
'x,-y,z'
'x+1/2,y+1/2,z'
'-x+1/2,-y+1/2,-z'
'-x+1/2,y+1/2,-z'
'x+1/2,-y+1/2,z'
loop_
_atom_site_label
_atom_site_type_symbol
_atom_site_fract_x
_atom_site_fract_y
_atom_site_fract_z
_atom_site_occupancy
Ba1 Ba 0.000 0.000 0.000 1
Ga1 Ga 0.000 0.000 0.500 1
Se1 Se 0.127 0.500 0.299 1
O1 O 0.019 0.236 0.311 1
O2 O 0.191 0.500 0.102 1
O3 O 0.232 0.000 0.540 1
# Formation energy without anion corrections = -1248 meV per atom

No. 17
# HfInNiAg (PBE, relaxed)
data_HfInNiAg
_space_group_name_H-M_alt 'F -4 3 m'
_space_group_IT_number 216
_space_group_name_Hall 'F -4 2 3'
_cell_length_a 6.546
_cell_length_b 6.546
_cell_length_c 6.546
_cell_angle_alpha 90.00
_cell_angle_beta 90.00
_cell_angle_gamma 90.00
loop_
_atom_site_label
_atom_site_type_symbol
_atom_site_fract_x
_atom_site_fract_y
_atom_site_fract_z
_atom_site_occupancy
Hf1 Hf 0.000 0.000 0.000 1
In1 In 0.000 0.000 0.500 1
Ni1 Ni 0.250 0.250 0.250 1
Ag1 Ag 0.250 0.250 0.750 1
# Energy = -88.16 eV/cell

No. 18
# CaZr2Si (PBE, relaxed)
data_CaZr2Si
_space_group_name_H-M_alt 'P 1 2/m 1'
_space_group_IT_number 10
_cell_length_a 3.321
_cell_length_b 4.857
_cell_length_c 5.881
_cell_angle_alpha 90.00
_cell_angle_beta 101.86
_cell_angle_gamma 90.00
loop_
_space_group_symop_operation_xyz
'x,y,z'
'-x,-y,-z'
'-x,y,-z'
'x,-y,z'
loop_
_atom_site_label
_atom_site_type_symbol
_atom_site_fract_x
_atom_site_fract_y
_atom_site_fract_z
_atom_site_occupancy
Ca1 Ca 0.000 0.000 0.000 1
Zr1 Zr 0.336 0.500 0.712 1
Si1 Si 0.500 0.000 0.500 1
# Formation energy without anion corrections = 17 meV per atom

No. 19
# FeTc2Ag (PBE, relaxed)
data_FeTc2Ag
_space_group_name_H-M_alt 'I -4 2 d'
_space_group_IT_number 122
_space_group_name_Hall 'I -4 2bw'
_cell_length_a 7.006
_cell_length_b 7.006
_cell_length_c 5.094
_cell_angle_alpha 90.00
_cell_angle_beta 90.00
_cell_angle_gamma 90.00
loop_
_atom_site_label
_atom_site_type_symbol
_atom_site_fract_x
_atom_site_fract_y
_atom_site_fract_z
_atom_site_occupancy
Fe1 Fe 0.000 0.000 0.000 1
Tc1 Tc 0.188 0.250 0.125 1
Ag1 Ag 0.000 0.000 0.500 1
# Excess energy over the best structure of this formula in the dataset = 452 meV/atom

No. 20
# CeInBRh4 (PBE, relaxed)
data_CeInBRh4
_space_group_name_H-M_alt 'C m c m'
_space_group_IT_number 63
_space_group_name_Hall '-C 2c 2'
_cell_length_a 5.867
_cell_length_b 13.568
_cell_length_c 5.891
_cell_angle_alpha 90.00
_cell_angle_beta 90.00
_cell_angle_gamma 90.00
loop_
_atom_site_label
_atom_site_type_symbol
_atom_site_fract_x
_atom_site_fract_y
_atom_site_fract_z
_atom_site_occupancy
Ce1 Ce 0.000 0.083 0.250 1
In1 In 0.000 0.392 0.250 1
B1 B 0.000 0.258 0.750 1
Rh1 Rh 0.000 0.098 0.750 1
Rh2 Rh 0.000 0.410 0.750 1
Rh3 Rh 0.250 0.250 0.000 1
# Energy = -192.31 eV/cell

No. 21
# Ce2Mg2Tl7 (PBE, relaxed)
data_Ce2Mg2Tl7
_space_group_name_H-M_alt 'I m m 2'
_space_group_IT_number 44
_cell_length_a 4.963
_cell_length_b 14.912
_cell_length_c 8.356
_cell_angle_alpha 90.00
_cell_angle_beta 90.00
_cell_angle_gamma 90.00
loop_
_space_group_symop_operation_xyz
'x,y,z'
'-x,-y,z'
'-x,y,z'
'x,-y,z'
'x+1/2,y+1/2,z+1/2'
'-x+1/2,-y+1/2,z+1/2'
'-x+1/2,y+1/2,z+1/2'
'x+1/2,-y+1/2,z+1/2'
loop_
_atom_site_label
_atom_site_type_symbol
_atom_site_fract_x
_atom_site_fract_y
_atom_site_fract_z
_atom_site_occupancy
Ce1 Ce 0.000 0.224 0.000 1
Mg1 Mg 0.000 0.000 0.758 1
Mg2 Mg 0.000 0.500 0.995 1
Tl1 Tl 0.000 0.000 0.109 1
Tl2 Tl 0.000 0.131 0.474 1
Tl3 Tl 0.000 0.370 0.700 1
Tl4 Tl 0.000 0.379 0.303 1
# Energy = -65.13 eV/cell

No. 22
# K2ClF6 (PBE, relaxed)
data_K2ClF6
_space_group_name_H-M_alt 'C 1 2/m 1'
_space_group_IT_number 12
_cell_length_a 11.051
_cell_length_b 5.533
_cell_length_c 4.755
_cell_angle_alpha 90.00
_cell_angle_beta 91.05
_cell_angle_gamma 90.00
loop_
_space_group_symop_operation_xyz
'x,y,z'
'-x,-y,-z'
'-x,y,-z'
'x,-y,z'
'x+1/2,y+1/2,z'
'-x+1/2,-y+1/2,-z'
'-x+1/2,y+1/2,-z'
'x+1/2,-y+1/2,z'
loop_
_atom_site_label
_atom_site_type_symbol
_atom_site_fract_x
_atom_site_fract_y
_atom_site_fract_z
_atom_site_occupancy
K1 K 0.182 0.000 0.267 1
Cl1 Cl 0.000 0.500 0.000 1
F1 F 0.062 0.267 0.779 1
F2 F 0.197 0.500 0.231 1
# Formation energy without anion corrections = -1593 meV per atom

No. 23
# YAlHg2 (PBE, relaxed)
data_YAlHg2
_space_group_name_H-M_alt 'P m m 2'
_space_group_IT_number 25
_cell_length_a 3.595
_cell_length_b 3.605
_cell_length_c 7.140
_cell_angle_alpha 90.00
_cell_angle_beta 90.00
_cell_angle_gamma 90.00
loop_
_space_group_symop_operation_xyz
'x,y,z'
'-x,-y,z'
'-x,y,z'
'x,-y,z'
loop_
_atom_site_label
_atom_site_type_symbol
_atom_site_fract_x
_atom_site_fract_y
_atom_site_fract_z
_atom_site_occupancy
Y1 Y 0.000 0.000 0.000 1
Al1 Al 0.500 0.500 0.731 1
Hg1 Hg 0.000 0.000 0.533 1
Hg2 Hg 0.500 0.500 0.271 1
# Energy = -11.53 eV/cell

No. 24
# SrPb3Se (PBE, relaxed)
data_SrPb3Se
_space_group_name_H-M_alt 'P m -3 m'
_space_group_IT_number 221
_space_group_name_Hall '-P 4 2 3'
_cell_length_a 5.753
_cell_length_b 5.753
_cell_length_c 5.753
_cell_angle_alpha 90.00
_cell_angle_beta 90.00
_cell_angle_gamma 90.00
loop_
_atom_site_label
_atom_site_type_symbol
_atom_site_fract_x
_atom_site_fract_y
_atom_site_fract_z
_atom_site_occupancy
Sr1 Sr 0.000 0.000 0.000 1
Pb1 Pb 0.000 0.500 0.500 1
Se1 Se 0.500 0.500 0.500 1
# Formation energy without anion corrections = -83 meV per atom
# Excess energy over the best structure of this formula in the dataset = 0 meV/atom